# 1
A relaxed V2AgSn2 crystal. Source: Alexandria, functional GGA-PBE.

The mass density comes out at 7.8 Mg/m³. Its energy relative to the lowest polymorph listed for this composition is 0.0369 eV/atom. Its symmetry is No. 127. The calculated volume comes out at 18.97 Å³/atom. The total magnetization comes out at 0.0 μB/cell. As for the formation energy: 225 meV/atom.

a = 8.006 Å, b = 8.006 Å, c = 2.960 Å
α = 90.00°, β = 90.00°, γ = 90.00°
Atoms (fractional coordinates):
V (0.393, 0.107, 0.500)
V (0.107, 0.607, 0.500)
V (0.893, 0.393, 0.500)
V (0.607, 0.893, 0.500)
Ag (0.000, 0.000, 0.000)
Ag (0.500, 0.500, 0.000)
Sn (0.316, 0.816, 0.000)
Sn (0.684, 0.184, 0.000)
Sn (0.184, 0.316, 0.000)
Sn (0.816, 0.684, 0.000)

=====

# 2
A relaxed V2AgSn2 crystal. Source: Alexandria, functional GGA-PBE.

The mass density comes out at 7.6 Mg/m³. Its energy relative to the lowest polymorph listed for this composition is 0.2510 eV/atom. Its symmetry is No. 139. The calculated volume comes out at 19.66 Å³/atom. The total magnetization comes out at 0.0 μB/cell. As for the formation energy: 439 meV/atom.

a = 3.675 Å, b = 3.675 Å, c = 7.727 Å
α = 76.24°, β = 76.24°, γ = 90.00°
Atoms (fractional coordinates):
V (0.250, 0.750, 0.500)
V (0.750, 0.250, 0.500)
Ag (0.000, 0.000, 0.000)
Sn (0.395, 0.395, 0.210)
Sn (0.605, 0.605, 0.790)

=====

# 3
A relaxed VAgSn crystal. Source: Alexandria, functional GGA-PBE.

The mass density comes out at 8.1 Mg/m³. Its symmetry is No. 69. The calculated volume comes out at 18.95 Å³/atom. The total magnetization comes out at 0.1 μB/cell. As for the formation energy: 278 meV/atom.

a = 4.471 Å, b = 5.324 Å, c = 5.717 Å
α = 80.55°, β = 66.98°, γ = 65.17°
Last column: magnetic moment on the atom in μB.
Atoms (fractional coordinates):
Ag (0.157, 0.686, 0.000)  0.00
Ag (0.843, 0.314, 0.000)  0.00
V (0.750, 0.500, 0.500)  0.05
V (0.250, 0.500, 0.500)  0.05
Sn (0.355, 0.000, 0.291)  0.00
Sn (0.645, 0.000, 0.709)  0.00

=====

- What is the formula in the second record?
  V2AgSn2